Entry 1:
Here is an optimized crystal structure of MgSc from Alexandria. Energies are from PBE-GGA.

a = 6.2664 Å, b = 6.2664 Å, c = 7.5738 Å
α = 104.51°, β = 104.51°, γ = 29.80°
Element x y z (fractional)
Mg 0.0000 0.0000 0.0000
Mg 0.0592 0.0592 0.6010
Mg 0.6665 0.6665 0.3259
Sc 0.3404 0.3404 0.6677
Sc 0.3833 0.3833 0.2673
Sc 0.7228 0.7228 0.9324

Computed properties:
- calculated formation energy (eV/atom) = 0.02
- space-group type = Cm
- density of states at the Fermi level (states/eV/atom) = 1.13


Entry 2:
Here is an optimized crystal structure of Pr2HoHg5 from Alexandria. Energies are from PBE-GGA.

a = 8.4981 Å, b = 8.4981 Å, c = 8.4981 Å
α = 144.17°, β = 144.17°, γ = 51.58°
Element x y z (fractional)
Pr 0.2363 0.2363 0.0000
Pr 0.7637 0.7637 0.0000
Ho 0.5000 0.5000 0.0000
Hg 0.0000 0.0000 0.0000
Hg 0.1160 0.6160 0.5000
Hg 0.3840 0.8840 0.5000
Hg 0.6160 0.1160 0.5000
Hg 0.8840 0.3840 0.5000

Computed properties:
- calculated formation energy (eV/atom) = -0.41
- space-group type = I4/mmm
- density of states at the Fermi level (states/eV/atom) = 0.82


Entry 3:
Here is an optimized crystal structure of BaSnO3 from Alexandria. Energies are from PBE-GGA.

a = 7.1348 Å, b = 7.1348 Å, c = 7.1348 Å
α = 53.36°, β = 53.36°, γ = 53.36°
Element x y z (fractional)
Ba 0.0000 0.0000 0.0000
Ba 0.5000 0.5000 0.5000
Sn 0.2500 0.2500 0.2500
Sn 0.7500 0.7500 0.7500
O 0.0511 0.7500 0.4489
O 0.2500 0.5511 0.9489
O 0.4489 0.0511 0.7500
O 0.5511 0.9489 0.2500
O 0.7500 0.4489 0.0511
O 0.9489 0.2500 0.5511

Computed properties:
- energy relative to the elements, uncorrected (eV per formula unit) = -8.98
- space-group type = R-3c
- density of states at the Fermi level (states/eV/atom) = 0.00


Entry 4:
Here is an optimized crystal structure of Cd12SnHg4 from Alexandria. Energies are from PBE-GGA.

a = 8.5841 Å, b = 8.5841 Å, c = 8.5841 Å
α = 109.50°, β = 109.50°, γ = 109.50°
Element x y z (fractional)
Cd 0.1461 0.6482 0.7951
Cd 0.1467 0.3514 0.4978
Cd 0.2049 0.8539 0.3518
Cd 0.3514 0.4978 0.1467
Cd 0.3518 0.2049 0.8539
Cd 0.4978 0.1467 0.3514
Cd 0.5022 0.8533 0.6486
Cd 0.6482 0.7951 0.1461
Cd 0.6486 0.5022 0.8533
Cd 0.7951 0.1461 0.6482
Cd 0.8533 0.6486 0.5022
Cd 0.8539 0.3518 0.2049
Sn 0.0000 0.0000 0.0000
Hg 0.0000 0.0000 0.5000
Hg 0.0000 0.5000 0.0000
Hg 0.5000 0.0000 0.0000
Hg 0.5000 0.5000 0.5000

Computed properties:
- calculated formation energy (eV/atom) = 0.17
- space-group type = R-3
- density of states at the Fermi level (states/eV/atom) = 0.38


Entry 5:
Here is an optimized crystal structure of Pr3ScSn5 from Alexandria. Energies are from PBE-GGA.

a = 9.5121 Å, b = 9.5121 Å, c = 6.4144 Å
α = 90.00°, β = 90.00°, γ = 120.00°
Element x y z (fractional)
Pr 0.0000 0.3852 0.2500
Pr 0.0000 0.6148 0.7500
Pr 0.3852 0.0000 0.2500
Pr 0.3852 0.3852 0.7500
Pr 0.6148 0.0000 0.7500
Pr 0.6148 0.6148 0.2500
Sc 0.0000 0.0000 0.0000
Sc 0.0000 0.0000 0.5000
Sn 0.0000 0.2705 0.7500
Sn 0.0000 0.7295 0.2500
Sn 0.2705 0.0000 0.7500
Sn 0.2705 0.2705 0.2500
Sn 0.3333 0.6667 0.0000
Sn 0.3333 0.6667 0.5000
Sn 0.6667 0.3333 0.0000
Sn 0.6667 0.3333 0.5000
Sn 0.7295 0.0000 0.2500
Sn 0.7295 0.7295 0.7500

Computed properties:
- calculated formation energy (eV/atom) = -0.65
- space-group type = P6_3/mcm
- density of states at the Fermi level (states/eV/atom) = 0.96


Entry 6:
Here is an optimized crystal structure of Hf2BTeAu from Alexandria. Energies are from PBE-GGA.

a = 5.3100 Å, b = 5.3100 Å, c = 3.9260 Å
α = 90.00°, β = 90.00°, γ = 90.00°
Element x y z (fractional)
Hf 0.0000 0.5000 0.0000
Hf 0.5000 0.0000 0.0000
B 0.0000 0.0000 0.5000
Te 0.5000 0.5000 0.5000
Au 0.0000 0.0000 0.0000

Computed properties:
- energy relative to the elements, uncorrected (eV per formula unit) = 2.21
- space-group type = P4/mmm
- density of states at the Fermi level (states/eV/atom) = 0.62


Entry 7:
Here is an optimized crystal structure of Nd4SbRh2 from Alexandria. Energies are from PBE-GGA.

a = 7.9563 Å, b = 7.9563 Å, c = 9.3040 Å
α = 125.50°, β = 125.50°, γ = 69.01°
Element x y z (fractional)
Nd 0.0620 0.0620 0.3835
Nd 0.3433 0.5292 0.7581
Nd 0.4708 0.6567 0.2419
Nd 0.4772 0.1670 0.2613
Nd 0.5694 0.0731 0.8862
Nd 0.8330 0.5228 0.7387
Nd 0.9269 0.4306 0.1138
Nd 0.9380 0.9380 0.6165
Sb 0.0772 0.9228 0.0000
Sb 0.3272 0.6728 0.5000
Rh 0.2014 0.2987 0.8531
Rh 0.6004 0.1934 0.6474
Rh 0.7013 0.7986 0.1469
Rh 0.8066 0.3996 0.3526

Computed properties:
- energy relative to the elements, uncorrected (eV per formula unit) = -4.62
- space-group type = C2
- density of states at the Fermi level (states/eV/atom) = 0.79


Entry 8:
Here is an optimized crystal structure of Ac2SnGe2Pd6 from Alexandria. Energies are from PBE-GGA.

a = 7.4096 Å, b = 7.4096 Å, c = 7.4096 Å
α = 54.73°, β = 54.73°, γ = 54.73°
Element x y z (fractional)
Ac 0.2439 0.2439 0.2439
Ac 0.7561 0.7561 0.7561
Sn 0.5000 0.5000 0.5000
Ge 0.0742 0.0742 0.0742
Ge 0.9258 0.9258 0.9258
Pd 0.2477 0.2477 0.6554
Pd 0.2477 0.6554 0.2477
Pd 0.3446 0.7523 0.7523
Pd 0.6554 0.2477 0.2477
Pd 0.7523 0.3446 0.7523
Pd 0.7523 0.7523 0.3446

Computed properties:
- calculated formation energy (eV/atom) = -0.61
- space-group type = R-3m
- density of states at the Fermi level (states/eV/atom) = 0.41